TbCePr2: optimized geometry, PBE-GGA.

Formation enthalpy at 0 K (eV/atom): 0.08
Crystal system: tetragonal
Total magnetic moment (μB/atom): 0.195
Fermi-level density of states (states/eV/cell): 8.58
Total energy (eV/atom): -4.950

a b c (Å): 5.128 5.128 5.113
angles (deg): 90.00 90.00 90.00
Space group P4/mmm (No. 123)
One atom of each set of equivalent atoms:
Tb 0.000 0.000 0.000
Ce 0.500 0.500 0.000
Pr 0.000 0.500 0.500